<A>
CdAg2Br: relaxed, GGA-PBE.

Summary:
- Fermi-level density of states (states/eV/f.u.) = 1.50
- symmetry = C2/m, No. 12
- size of the total moment (Bohr magnetons per cell) = 0.00

```
CdAg2Br
1.0
-0.846 -5.198 1.315
4.028 1.163 -4.116
3.005 -0.055 1.517
Cd Ag Br
1 2 1
Direct
0.500 0.500 0.000
0.500 0.000 0.500
0.000 0.000 0.000
0.000 0.500 0.500
```

***

<B>
CdAg2Br: relaxed, GGA-PBE.

Summary:
- Fermi-level density of states (states/eV/f.u.) = 1.49
- symmetry = P2/m, No. 10
- size of the total moment (Bohr magnetons per cell) = 0.00

```
CdAg2Br
1.0
3.394 0.000 0.000
0.000 5.964 0.109
0.000 4.909 4.595
Br Cd Ag
1 1 2
Direct
0.500 0.500 0.500
0.000 0.000 0.500
0.000 0.000 0.000
0.500 0.500 0.000
```

***

Most favorable first, least favorable last: <B>, <A>

***

<A>
CrTeBr2: relaxed, GGA-PBE.

Summary:
- Fermi-level density of states (states/eV/f.u.) = 2.48
- symmetry = Pmmm, No. 47
- size of the total moment (Bohr magnetons per cell) = 4.54

```
CrTeBr2
1.0
-0.987 -0.359 -3.390
-4.059 -4.776 1.687
-3.386 3.109 0.656
Cr Te Br
1 1 2
Direct
0.500 0.000 0.500
0.000 0.500 0.500
0.000 0.000 0.000
0.500 0.500 0.000
```

***

<B>
CrTeBr2: relaxed, GGA-PBE.

Summary:
- Fermi-level density of states (states/eV/f.u.) = 3.06
- symmetry = Cmm2, No. 35
- size of the total moment (Bohr magnetons per cell) = 3.36

```
CrTeBr2
1.0
4.104 -0.091 0.000
-2.323 3.384 0.000
0.000 0.000 9.388
Br Cr Te
2 1 1
Direct
0.500 0.500 0.329
0.000 0.000 0.960
0.000 0.000 0.508
0.500 0.500 0.702
```

***

Most favorable first, least favorable last: <B>, <A>